# PBE BaLiFe, relaxed
# Formation energy from the elements ... 1111 meV per atom
# Excess energy over the best structure of this formula in the dataset ... 485 meV/atom
data_BaLiFe
_symmetry_space_group_name_H-M 'F -4 3 m'
_symmetry_Int_Tables_number 216
_symmetry_space_group_name_Hall 'F -4 2 3'
_cell_length_a 7.466
_cell_length_b 7.466
_cell_length_c 7.466
_cell_angle_alpha 90.00
_cell_angle_beta 90.00
_cell_angle_gamma 90.00
loop_
_atom_site_label
_atom_site_fract_x
_atom_site_fract_y
_atom_site_fract_z
_atom_site_occupancy
Ba1 0.000 0.000 0.000 1
Li1 0.250 0.250 0.250 1
Fe1 0.250 0.250 0.750 1

=====

# PBE Zn2CrRh, relaxed
# Formation energy from the elements ... -49 meV per atom
# Excess energy over the best structure of this formula in the dataset ... 84 meV/atom
data_Zn2CrRh
_symmetry_space_group_name_H-M 'C 1 m 1'
_symmetry_Int_Tables_number 8
_cell_length_a 8.835
_cell_length_b 2.855
_cell_length_c 4.553
_cell_angle_alpha 90.00
_cell_angle_beta 102.60
_cell_angle_gamma 90.00
loop_
_symmetry_equiv_pos_as_xyz
'x,y,z'
'x,-y,z'
'x+1/2,y+1/2,z'
'x+1/2,-y+1/2,z'
loop_
_atom_site_label
_atom_site_fract_x
_atom_site_fract_y
_atom_site_fract_z
_atom_site_occupancy
Zn1 0.000 0.000 0.000 1
Zn2 0.244 0.000 0.778 1
Cr1 0.253 0.500 0.285 1
Rh1 0.494 0.000 0.491 1

=====

# PBE NbPRhS2, relaxed
# Formation energy without anion corrections ... 0.5968 eV per atom
# Excess energy over the best structure of this formula in the dataset ... 76 meV/atom
data_NbPRhS2
_symmetry_space_group_name_H-M 'P 4/m m m'
_symmetry_Int_Tables_number 123
_symmetry_space_group_name_Hall '-P 4 2'
_cell_length_a 4.563
_cell_length_b 4.563
_cell_length_c 4.484
_cell_angle_alpha 90.00
_cell_angle_beta 90.00
_cell_angle_gamma 90.00
loop_
_atom_site_label
_atom_site_fract_x
_atom_site_fract_y
_atom_site_fract_z
_atom_site_occupancy
Nb1 0.000 0.000 0.000 1
P1 0.500 0.500 0.000 1
Rh1 0.500 0.500 0.500 1
S1 0.000 0.500 0.500 1

=====

# PBE Al2Ge2Pt, relaxed
# Formation energy from the elements ... -22 meV per atom
data_Al2Ge2Pt
_symmetry_space_group_name_H-M 'P 4/m b m'
_symmetry_Int_Tables_number 127
_symmetry_space_group_name_Hall '-P 4 2ab'
_cell_length_a 6.418
_cell_length_b 6.418
_cell_length_c 4.416
_cell_angle_alpha 90.00
_cell_angle_beta 90.00
_cell_angle_gamma 90.00
loop_
_atom_site_label
_atom_site_fract_x
_atom_site_fract_y
_atom_site_fract_z
_atom_site_occupancy
Al1 0.168 0.332 0.000 1
Ge1 0.139 0.639 0.500 1
Pt1 0.000 0.000 0.500 1

=====

# PBE CsAc2HgSe4, relaxed
# Formation energy without anion corrections ... -1.4495 eV per atom
data_CsAc2HgSe4
_symmetry_space_group_name_H-M 'C m c m'
_symmetry_Int_Tables_number 63
_symmetry_space_group_name_Hall '-C 2c 2'
_cell_length_a 4.796
_cell_length_b 15.238
_cell_length_c 15.747
_cell_angle_alpha 90.00
_cell_angle_beta 90.00
_cell_angle_gamma 90.00
loop_
_atom_site_label
_atom_site_fract_x
_atom_site_fract_y
_atom_site_fract_z
_atom_site_occupancy
Cs1 0.000 0.123 0.250 1
Ac1 0.000 0.370 0.061 1
Hg1 0.000 0.142 0.750 1
Se1 0.000 0.000 0.000 1
Se2 0.000 0.258 0.603 1
Se3 0.000 0.440 0.250 1

=====

# PBE LaAu2Cl, relaxed
# Formation energy without anion corrections ... -0.9625 eV per atom
# Excess energy over the best structure of this formula in the dataset ... 50 meV/atom
data_LaAu2Cl
_symmetry_space_group_name_H-M 'C m m m'
_symmetry_Int_Tables_number 65
_symmetry_space_group_name_Hall '-C 2 2'
_cell_length_a 5.562
_cell_length_b 8.789
_cell_length_c 4.302
_cell_angle_alpha 90.00
_cell_angle_beta 90.00
_cell_angle_gamma 90.00
loop_
_atom_site_label
_atom_site_fract_x
_atom_site_fract_y
_atom_site_fract_z
_atom_site_occupancy
La1 0.000 0.000 0.000 1
Au1 0.000 0.245 0.500 1
Cl1 0.000 0.500 0.000 1

=====

# PBE Ac2Sm4Ho, relaxed
# Formation energy from the elements ... 176 meV per atom
data_Ac2Sm4Ho
_symmetry_space_group_name_H-M 'C 1 2/m 1'
_symmetry_Int_Tables_number 12
_cell_length_a 12.072
_cell_length_b 4.422
_cell_length_c 11.683
_cell_angle_alpha 90.00
_cell_angle_beta 120.42
_cell_angle_gamma 90.00
loop_
_symmetry_equiv_pos_as_xyz
'x,y,z'
'-x,-y,-z'
'-x,y,-z'
'x,-y,z'
'x+1/2,y+1/2,z'
'-x+1/2,-y+1/2,-z'
'-x+1/2,y+1/2,-z'
'x+1/2,-y+1/2,z'
loop_
_atom_site_label
_atom_site_fract_x
_atom_site_fract_y
_atom_site_fract_z
_atom_site_occupancy
Ac1 0.088 0.000 0.398 1
Sm1 0.138 0.500 0.884 1
Sm2 0.210 0.500 0.228 1
Ho1 0.000 0.000 0.000 1

=====

# PBE Mn2Br3Cl, relaxed
# Formation energy without anion corrections ... -0.8581 eV per atom
data_Mn2Br3Cl
_symmetry_space_group_name_H-M 'C 1 2/m 1'
_symmetry_Int_Tables_number 12
_cell_length_a 17.665
_cell_length_b 3.837
_cell_length_c 13.297
_cell_angle_alpha 90.00
_cell_angle_beta 128.77
_cell_angle_gamma 90.00
loop_
_symmetry_equiv_pos_as_xyz
'x,y,z'
'-x,-y,-z'
'-x,y,-z'
'x,-y,z'
'x+1/2,y+1/2,z'
'-x+1/2,-y+1/2,-z'
'-x+1/2,y+1/2,-z'
'x+1/2,-y+1/2,z'
loop_
_atom_site_label
_atom_site_fract_x
_atom_site_fract_y
_atom_site_fract_z
_atom_site_occupancy
Mn1 0.247 0.000 0.371 1
Mn2 0.248 0.500 0.124 1
Br1 0.135 0.500 0.197 1
Br2 0.138 0.000 0.944 1
Br3 0.141 0.000 0.455 1
Cl1 0.157 0.500 0.715 1